1.
Material: AcAl2I8
Method: DFT, GGA-PBE
State: relaxed

POSCAR file:
```
AcAl2I8
1.0
7.622 -5.275 0.000
7.622 5.275 0.000
-1.174 0.000 7.446
Ac Al I
1 2 8
direct
0.000 0.000 0.000 Ac
0.194 0.194 0.651 Al
0.806 0.806 0.349 Al
0.091 0.703 0.243 I
0.187 0.187 0.292 I
0.297 0.909 0.757 I
0.356 0.356 0.793 I
0.644 0.644 0.207 I
0.703 0.091 0.243 I
0.813 0.813 0.708 I
0.909 0.297 0.757 I
```

Calculated values
Its formation energy without anion corrections is -0.834 eV/atom. For the calculated volume, the calculation gives 598.76 Å³/cell. For the calculated density, the calculation gives 3.6 g/cm3.

***

2.
Material: BaPb3O
Method: DFT, GGA-PBE
State: relaxed

POSCAR file:
```
BaPb3O
1.0
5.225 0.000 0.000
0.000 5.225 0.000
0.000 0.000 5.225
Ba Pb O
1 3 1
direct
0.000 0.000 0.000 Ba
0.000 0.500 0.500 Pb
0.500 0.000 0.500 Pb
0.500 0.500 0.000 Pb
0.500 0.500 0.500 O
```

Calculated values
As for the energy above the lowest structure with this stoichiometry: 0.00 eV/f.u. Its formation energy without anion corrections is -0.471 eV/atom. For the calculated volume, the calculation gives 142.67 Å³/cell. For the calculated density, the calculation gives 9.0 g/cm3.

***

3.
Material: TeAs4
Method: DFT, GGA-PBE
State: relaxed

POSCAR file:
```
TeAs4
1.0
-3.224 3.224 3.224
3.224 -3.224 3.224
3.224 3.224 -3.224
Te As
1 4
direct
0.000 0.000 0.000 Te
0.000 0.000 0.500 As
0.000 0.500 0.000 As
0.500 0.000 0.000 As
0.500 0.500 0.500 As
```

Calculated values
As for the energy above the lowest structure with this stoichiometry: 2.49 eV/f.u. Its formation energy without anion corrections is 0.737 eV/atom. For the calculated volume, the calculation gives 134.08 Å³/cell. For the calculated density, the calculation gives 5.3 g/cm3.

***

4.
Material: PaHgCl
Method: DFT, GGA-PBE
State: relaxed

POSCAR file:
```
PaHgCl
1.0
6.128 -2.103 0.000
6.128 2.103 0.000
-4.024 0.000 6.275
Pa Hg Cl
2 2 2
direct
0.000 0.000 0.000 Pa
0.208 0.208 0.362 Pa
0.268 0.268 0.825 Hg
0.694 0.694 0.002 Hg
0.542 0.542 0.322 Cl
0.899 0.899 0.547 Cl
```

Calculated values
Its formation energy without anion corrections is -0.414 eV/atom. For the calculated volume, the calculation gives 161.75 Å³/cell. For the calculated density, the calculation gives 9.6 g/cm3.

***

5.
Material: KMnCl2
Method: DFT, GGA-PBE
State: relaxed

POSCAR file:
```
KMnCl2
1.0
2.316 1.337 7.687
-2.316 1.337 7.687
0.000 -2.675 7.687
K Mn Cl
1 1 2
direct
0.000 0.000 0.000 K
0.500 0.500 0.500 Mn
0.403 0.403 0.403 Cl
0.597 0.597 0.597 Cl
```

Calculated values
As for the energy above the lowest structure with this stoichiometry: 0.03 eV/f.u. Its formation energy without anion corrections is -0.979 eV/atom. For the calculated volume, the calculation gives 142.88 Å³/cell. For the calculated density, the calculation gives 1.9 g/cm3.

***

6.
Material: YInOs2
Method: DFT, GGA-PBE
State: relaxed

POSCAR file:
```
YInOs2
1.0
-1.644 2.495 4.541
1.644 -2.495 4.541
1.644 2.495 -4.541
Y In Os
1 1 2
direct
0.000 0.000 0.000 Y
0.500 0.500 0.000 In
0.255 0.755 0.500 Os
0.745 0.245 0.500 Os
```

Calculated values
For the calculated volume, the calculation gives 74.48 Å³/cell. Its formation energy is 0.46 eV/atom. For the calculated density, the calculation gives 13.0 g/cm3.

***

Q: Look up the calculated density of the first one.
A: 3.6 g/cm3

***

Q: Which formula does entry 4 have?
A: PaHgCl